Density functional theory data (PBE) for a geometry-optimized BaCuPRh structure.

a b c (Å): 3.908 3.908 11.722
angles (deg): 90.00 90.00 90.00
Fractional positions:
Ba1 0.250 0.250 0.238
Ba2 0.750 0.750 0.762
Cu1 0.250 0.750 0.000
Cu2 0.750 0.250 0.000
P1 0.250 0.250 0.614
P2 0.750 0.750 0.386
Rh1 0.250 0.750 0.500
Rh2 0.750 0.250 0.500

Output
E_form   -51 kJ/mol of atoms
Symmetry   P4/nmm, No. 129

=====

Density functional theory data (PBE) for a geometry-optimized Hf6GeC3 structure.

a b c (Å): 10.156 3.346 10.428
angles (deg): 90.00 114.82 90.00
Fractional positions:
Hf1 0.030 0.250 0.382
Hf2 0.105 0.750 0.939
Hf3 0.233 0.750 0.277
Hf4 0.257 0.250 0.793
Hf5 0.432 0.250 0.576
Hf6 0.442 0.250 0.118
Hf7 0.558 0.750 0.882
Hf8 0.568 0.750 0.424
Hf9 0.743 0.750 0.207
Hf10 0.767 0.250 0.723
Hf11 0.895 0.250 0.061
Hf12 0.970 0.750 0.618
Ge1 0.222 0.750 0.571
Ge2 0.778 0.250 0.429
C1 0.027 0.250 0.781
C2 0.345 0.750 0.953
C3 0.404 0.250 0.341
C4 0.596 0.750 0.659
C5 0.655 0.250 0.047
C6 0.973 0.750 0.219

Output
E_form   -64 kJ/mol of atoms
Symmetry   P2_1/m, No. 11

=====

Density functional theory data (PBE) for a geometry-optimized AcPuCuSi structure.

a b c (Å): 5.199 5.199 5.199
angles (deg): 60.00 60.00 60.00
Fractional positions:
Ac1 0.000 0.000 0.000
Pu1 0.500 0.500 0.500
Cu1 0.250 0.250 0.250
Si1 0.750 0.750 0.750

Output
Symmetry   F-43m, No. 216
VASP energy   -28.49 eV for the cell shown

=====

| no. | theoretical density (Mg/m³) |
| --- | --- |
| 1 | 6.21 |
| 2 | 12.18 |
| 3 | 9.40 |